Record 1
{"formula": "CsAu5", "functional": "PBE", "state": "optimized geometry", "lattice_angstrom": [[5.669, 0.000, 0.000], [0.000, 4.532, 0.000], [-0.044, 0.000, 5.974]], "species": ["Cs", "Au", "Au", "Au", "Au", "Au"], "fractional_positions": [[0.000, 0.000, 0.000], [0.000, 0.500, 0.500], [0.266, 0.000, 0.502], [0.499, 0.500, 0.760], [0.501, 0.500, 0.240], [0.734, 0.000, 0.498]], "spacegroup": "P2/m, No. 10", "dos_at_fermi_per_ev_atom": 0.192, "total_energy_ev_per_atom": -2.90, "formation_enthalpy_0k_kj_per_mol_fu": -17, "crystal_system": "monoclinic"}

Record 2
{"formula": "BeCoC3", "functional": "PBE", "state": "optimized geometry", "lattice_angstrom": [[3.476, 0.000, 0.000], [0.000, 3.476, 0.000], [0.000, 0.000, 3.476]], "species": ["Be", "Co", "C", "C", "C"], "fractional_positions": [[0.000, 0.000, 0.000], [0.500, 0.500, 0.500], [0.000, 0.000, 0.500], [0.000, 0.500, 0.000], [0.500, 0.000, 0.000]], "relative_energy_mev_per_atom": 91, "spacegroup": "Pm-3m, No. 221", "dos_at_fermi_per_ev_atom": 1.214, "total_energy_ev_per_atom": -5.30, "formation_enthalpy_0k_kj_per_mol_fu": 1158, "crystal_system": "cubic"}

Record 3
{"formula": "Zn8IrPd2", "functional": "PBE", "state": "optimized geometry", "lattice_angstrom": [[6.764, -2.062, 0.000], [6.764, 2.062, 0.000], [-3.386, 0.000, 5.868]], "species": ["Zn", "Zn", "Zn", "Zn", "Zn", "Zn", "Zn", "Zn", "Ir", "Pd", "Pd"], "fractional_positions": [[0.001, 0.001, 0.199], [0.149, 0.149, 0.650], [0.355, 0.355, 0.646], [0.357, 0.357, 0.065], [0.643, 0.643, 0.935], [0.645, 0.645, 0.354], [0.851, 0.851, 0.350], [0.999, 0.999, 0.801], [0.500, 0.500, 0.500], [0.205, 0.205, 0.204], [0.795, 0.795, 0.796]], "spacegroup": "C2/m, No. 12", "dos_at_fermi_per_ev_atom": 0.289, "total_energy_ev_per_atom": -2.97, "formation_enthalpy_0k_kj_per_mol_fu": -316, "crystal_system": "monoclinic"}